[1]
Computed, not measured: crystalline Zr5Sb3S at its relaxed geometry at the PBE-GGA level of DFT.

Summary:
- electronic total energy (eV/atom) = -7.522
- spin magnetization (μB/atom) = 0.001
- space-group type = P6_3/mcm

POSCAR file:
```
Zr5Sb3S
1.0
8.4765 0.0000 0.0000
-4.2382 7.3409 0.0000
0.0000 0.0000 6.1161
Zr Sb S
10 6 2
direct
0.0000 0.2498 0.2500
0.0000 0.7502 0.7500
0.2498 0.0000 0.2500
0.2498 0.2498 0.7500
0.3333 0.6667 0.0000
0.3333 0.6667 0.5000
0.6667 0.3333 0.0000
0.6667 0.3333 0.5000
0.7502 0.0000 0.7500
0.7502 0.7502 0.2500
0.0000 0.3988 0.7500
0.0000 0.6012 0.2500
0.3988 0.0000 0.7500
0.3988 0.3988 0.2500
0.6012 0.0000 0.2500
0.6012 0.6012 0.7500
0.0000 0.0000 0.0000
0.0000 0.0000 0.5000
```

=====

[2]
Computed, not measured: crystalline SmSc2S3 at its relaxed geometry at the PBE-GGA level of DFT.

Summary:
- electronic total energy (eV/atom) = -6.867
- spin magnetization (μB/atom) = 0.001
- space-group type = P-3m1

POSCAR file:
```
SmSc2S3
1.0
3.7687 0.0000 0.0000
-1.8844 3.2638 0.0000
0.0000 0.0000 9.4162
Sm Sc S
1 2 3
direct
0.0000 0.0000 0.0000
0.3333 0.6667 0.6592
0.6667 0.3333 0.3408
0.0000 0.0000 0.5000
0.3333 0.6667 0.1893
0.6667 0.3333 0.8107
```

=====

[3]
Computed, not measured: crystalline SmScS3 at its relaxed geometry at the PBE-GGA level of DFT.

Summary:
- electronic total energy (eV/atom) = -6.689
- spin magnetization (μB/atom) = 0.000
- space-group type = Pnma

POSCAR file:
```
SmScS3
1.0
7.1099 0.0000 0.0000
0.0000 9.5533 0.0000
0.0000 0.0000 6.4519
Sm Sc S
4 4 12
direct
0.0999 0.2500 0.0391
0.4001 0.7500 0.5391
0.5999 0.2500 0.4609
0.9001 0.7500 0.9609
0.0000 0.0000 0.5000
0.0000 0.5000 0.5000
0.5000 0.0000 0.0000
0.5000 0.5000 0.0000
0.0411 0.7500 0.3647
0.1859 0.5660 0.8228
0.1859 0.9340 0.8228
0.3141 0.0660 0.3228
0.3141 0.4340 0.3228
0.4589 0.2500 0.8647
0.5411 0.7500 0.1353
0.6859 0.5660 0.6772
0.6859 0.9340 0.6772
0.8141 0.0660 0.1772
0.8141 0.4340 0.1772
0.9589 0.2500 0.6353
```

=====

[4]
Computed, not measured: crystalline Sr2ScTcS6 at its relaxed geometry at the PBE-GGA level of DFT.

Summary:
- electronic total energy (eV/atom) = -5.768
- spin magnetization (μB/atom) = 0.194
- space-group type = P-1

POSCAR file:
```
Sr2ScTcS6
1.0
6.6562 0.0000 0.0000
3.2542 5.9118 0.0000
3.1671 2.0355 5.6707
Sr Sc Tc S
2 1 1 6
direct
0.2400 0.2468 0.2637
0.7600 0.7532 0.7363
0.0000 0.0000 0.0000
0.5000 0.5000 0.5000
0.1948 0.3178 0.6959
0.2265 0.8002 0.6857
0.3490 0.7476 0.1677
0.6510 0.2524 0.8323
0.7735 0.1998 0.3143
0.8052 0.6822 0.3041
```

=====

[5]
Computed, not measured: crystalline TbSc3S at its relaxed geometry at the PBE-GGA level of DFT.

Summary:
- electronic total energy (eV/atom) = -6.151
- spin magnetization (μB/atom) = 0.300
- space-group type = Pm-3m

POSCAR file:
```
TbSc3S
1.0
4.9717 0.0000 0.0000
0.0000 4.9717 0.0000
0.0000 0.0000 4.9717
Tb Sc S
1 3 1
direct
0.0000 0.0000 0.0000
0.0000 0.5000 0.5000
0.5000 0.0000 0.5000
0.5000 0.5000 0.0000
0.5000 0.5000 0.5000
```

=====

[6]
Computed, not measured: crystalline Sc3TcS at its relaxed geometry at the PBE-GGA level of DFT.

Summary:
- electronic total energy (eV/atom) = -7.524
- spin magnetization (μB/atom) = 0.000
- space-group type = C2/m

POSCAR file:
```
Sc3TcS
1.0
5.2471 -2.4739 0.0000
5.2471 2.4739 0.0000
-3.2435 0.0000 7.4620
Sc Tc S
6 2 2
direct
0.0962 0.0962 0.3703
0.3458 0.3458 0.8611
0.3719 0.3719 0.2467
0.6281 0.6281 0.7533
0.6542 0.6542 0.1389
0.9038 0.9038 0.6297
0.1069 0.1069 0.9635
0.8931 0.8931 0.0365
0.3637 0.3637 0.5593
0.6363 0.6363 0.4407
```

=====

[7]
Computed, not measured: crystalline ScTlZnS3 at its relaxed geometry at the PBE-GGA level of DFT.

Summary:
- electronic total energy (eV/atom) = -4.738
- spin magnetization (μB/atom) = 0.000
- space-group type = C2/m

POSCAR file:
```
ScTlZnS3
1.0
8.0348 -1.9153 0.0000
8.0348 1.9153 0.0000
-1.7341 0.0000 8.4734
Sc Tl Zn S
2 2 2 6
direct
0.1694 0.1694 0.0768
0.8306 0.8306 0.9232
0.1479 0.1479 0.5563
0.8521 0.8521 0.4437
0.4969 0.4969 0.7853
0.5031 0.5031 0.2147
0.0000 0.0000 0.0000
0.3345 0.3345 0.1310
0.3453 0.3453 0.7368
0.5000 0.5000 0.5000
0.6547 0.6547 0.2632
0.6655 0.6655 0.8690
```

=====

[8]
Computed, not measured: crystalline ScTlZnS3 at its relaxed geometry at the PBE-GGA level of DFT.

Summary:
- electronic total energy (eV/atom) = -4.854
- spin magnetization (μB/atom) = 0.000
- space-group type = P2_1/m

POSCAR file:
```
ScTlZnS3
1.0
7.9224 0.0000 0.0000
0.0000 3.8183 0.0000
-3.7296 0.0000 9.3892
Sc Tl Zn S
2 2 2 6
direct
0.1836 0.2500 0.1356
0.8164 0.7500 0.8644
0.2266 0.7500 0.7186
0.7734 0.2500 0.2814
0.4218 0.7500 0.3884
0.5782 0.2500 0.6116
0.0436 0.2500 0.8684
0.2712 0.2500 0.4307
0.4164 0.7500 0.1586
0.5836 0.2500 0.8414
0.7288 0.7500 0.5693
0.9564 0.7500 0.1316
```

=====

[9]
Computed, not measured: crystalline ScTlZnS3 at its relaxed geometry at the PBE-GGA level of DFT.

Summary:
- electronic total energy (eV/atom) = -4.803
- spin magnetization (μB/atom) = 0.001
- space-group type = Pnma

POSCAR file:
```
ScTlZnS3
1.0
9.6290 0.0000 0.0000
0.0000 3.8330 0.0000
0.0000 0.0000 14.4562
Sc Tl Zn S
4 4 4 12
direct
0.1688 0.2500 0.0581
0.3312 0.7500 0.5581
0.6688 0.2500 0.4419
0.8312 0.7500 0.9419
0.0112 0.7500 0.3299
0.4888 0.2500 0.8299
0.5112 0.7500 0.1701
0.9888 0.2500 0.6701
0.1682 0.7500 0.8630
0.3318 0.2500 0.3630
0.6682 0.7500 0.6370
0.8318 0.2500 0.1370
0.0213 0.2500 0.8991
0.1870 0.2500 0.4910
0.2308 0.7500 0.7126
0.2692 0.2500 0.2126
0.3130 0.7500 0.9910
0.4787 0.7500 0.3991
0.5213 0.2500 0.6009
0.6870 0.2500 0.0090
0.7308 0.7500 0.7874
0.7692 0.2500 0.2874
0.8130 0.7500 0.5090
0.9787 0.7500 0.1009
```

=====

[10]
Computed, not measured: crystalline ScTlZnS3 at its relaxed geometry at the PBE-GGA level of DFT.

Summary:
- electronic total energy (eV/atom) = -4.868
- spin magnetization (μB/atom) = 0.001
- space-group type = Pnma

POSCAR file:
```
ScTlZnS3
1.0
10.0771 0.0000 0.0000
0.0000 3.8070 0.0000
0.0000 0.0000 14.2519
Sc Tl Zn S
4 4 4 12
direct
0.0056 0.2500 0.2494
0.4944 0.7500 0.7494
0.5056 0.2500 0.2506
0.9944 0.7500 0.7506
0.2454 0.7500 0.4934
0.2546 0.2500 0.9934
0.7454 0.7500 0.0066
0.7546 0.2500 0.5066
0.2450 0.2500 0.7088
0.2550 0.7500 0.2088
0.7450 0.2500 0.7912
0.7550 0.7500 0.2912
0.0456 0.2500 0.6299
0.0564 0.7500 0.1290
0.2447 0.7500 0.8091
0.2553 0.2500 0.3091
0.4436 0.2500 0.6290
0.4544 0.7500 0.1299
0.5456 0.2500 0.8701
0.5564 0.7500 0.3710
0.7447 0.7500 0.6909
0.7553 0.2500 0.1909
0.9436 0.2500 0.8710
0.9544 0.7500 0.3701
```

=====

[11]
Computed, not measured: crystalline ScTlZnS3 at its relaxed geometry at the PBE-GGA level of DFT.

Summary:
- electronic total energy (eV/atom) = -4.768
- spin magnetization (μB/atom) = 0.001
- space-group type = Pnma

POSCAR file:
```
ScTlZnS3
1.0
11.4337 0.0000 0.0000
0.0000 3.8489 0.0000
0.0000 0.0000 11.9535
Sc Tl Zn S
4 4 4 12
direct
0.0375 0.2500 0.1543
0.4625 0.7500 0.6543
0.5375 0.2500 0.3457
0.9625 0.7500 0.8457
0.1466 0.2500 0.5079
0.3534 0.7500 0.0079
0.6466 0.2500 0.9921
0.8534 0.7500 0.4921
0.2475 0.2500 0.7959
0.2525 0.7500 0.2959
0.7475 0.2500 0.7041
0.7525 0.7500 0.2041
0.0452 0.7500 0.3036
0.0986 0.2500 0.9328
0.2369 0.7500 0.6813
0.2631 0.2500 0.1813
0.4014 0.7500 0.4328
0.4548 0.2500 0.8036
0.5452 0.7500 0.1964
0.5986 0.2500 0.5672
0.7369 0.7500 0.8187
0.7631 0.2500 0.3187
0.9014 0.7500 0.0672
0.9548 0.2500 0.6964
```

=====

[12]
Computed, not measured: crystalline ScTlZnS3 at its relaxed geometry at the PBE-GGA level of DFT.

Summary:
- electronic total energy (eV/atom) = -4.860
- spin magnetization (μB/atom) = 0.000
- space-group type = Pnma

POSCAR file:
```
ScTlZnS3
1.0
14.4563 0.0000 0.0000
0.0000 3.8242 0.0000
0.0000 0.0000 10.2666
Sc Tl Zn S
4 4 4 12
direct
0.0231 0.2500 0.1501
0.4769 0.7500 0.6501
0.5231 0.2500 0.3499
0.9769 0.7500 0.8499
0.2449 0.2500 0.4570
0.2551 0.7500 0.9570
0.7449 0.2500 0.0430
0.7551 0.7500 0.5430
0.0181 0.7500 0.3988
0.4819 0.2500 0.8988
0.5181 0.7500 0.1012
0.9819 0.2500 0.6012
0.0779 0.7500 0.6200
0.0881 0.2500 0.9228
0.1299 0.7500 0.2379
0.3701 0.2500 0.7379
0.4119 0.7500 0.4228
0.4221 0.2500 0.1200
0.5779 0.7500 0.8800
0.5881 0.2500 0.5772
0.6299 0.7500 0.2621
0.8701 0.2500 0.7621
0.9119 0.7500 0.0772
0.9221 0.2500 0.3800
```